Record 1
This record from the Alexandria database describes a geometry-optimized BRhN3 structure. The functional is GGA-PBE.

Cell lengths 3.8397, 3.8397, 3.8397 Å; angles 90.00, 90.00, 90.00 degrees
Fractional coordinates of all 5 atoms:
B (0.0000, 0.0000, 0.0000)
Rh (0.5000, 0.5000, 0.5000)
N (0.0000, 0.5000, 0.5000)
N (0.5000, 0.0000, 0.5000)
N (0.5000, 0.5000, 0.0000)

Summary:
* spin magnetization: 0.0000 μB per atom
* E: -26.3 eV/cell

Record 2
This record from the Alexandria database describes a geometry-optimized B3RhN structure. The functional is GGA-PBE.

Cell lengths 3.4323, 3.4323, 3.4323 Å; angles 90.00, 90.00, 90.00 degrees
Fractional coordinates of all 5 atoms:
B (0.0000, 0.0000, 0.5000)
B (0.0000, 0.5000, 0.0000)
B (0.5000, 0.0000, 0.0000)
Rh (0.5000, 0.5000, 0.5000)
N (0.0000, 0.0000, 0.0000)

Summary:
* spin magnetization: 0.0000 μB per atom
* E: -28.9 eV/cell
* ΔE to the lowest computed polymorph: 0 meV/atom